Entry 1:
A relaxed Ti3InN crystal, computed with PBE.

a = 9.927 Å, b = 4.185 Å, c = 8.117 Å
α = 90.00°, β = 115.25°, γ = 90.00°
Space group C2/m (No. 12)
Inequivalent atoms, fractional coordinates:
Ti (0.110, 0.000, 0.182) (multiplicity 4)
Ti (0.132, 0.000, 0.683) (multiplicity 4)
Ti (0.146, 0.500, 0.946) (multiplicity 4)
In (0.114, 0.500, 0.428) (multiplicity 4)
N (0.121, 0.000, 0.932) (multiplicity 4)

Values from the calculation:
Magnetization   0.000 μB per cell
Energy relative to the elements, uncorrected   -4.15 eV per formula unit

***

Entry 2:
A relaxed Ti4InN crystal, computed with PBE.

a = 4.412 Å, b = 14.246 Å, c = 5.876 Å
α = 90.00°, β = 90.00°, γ = 90.00°
Space group Cmcm (No. 63)
Inequivalent atoms, fractional coordinates:
Ti (0.000, 0.000, 0.000) (multiplicity 4)
Ti (0.000, 0.201, 0.005) (multiplicity 8)
Ti (0.000, 0.393, 0.750) (multiplicity 4)
In (0.000, 0.392, 0.250) (multiplicity 4)
N (0.000, 0.101, 0.250) (multiplicity 4)

Values from the calculation:
Offset from the most stable computed form   0 meV per atom
Magnetization   0.000 μB per cell
Energy relative to the elements, uncorrected   -4.18 eV per formula unit

***

Entry 3:
A relaxed Ti5InN crystal, computed with PBE.

a = 3.875 Å, b = 3.875 Å, c = 7.129 Å
α = 90.00°, β = 90.00°, γ = 90.00°
Space group P4/mmm (No. 123)
Inequivalent atoms, fractional coordinates:
Ti (0.000, 0.000, 0.000) (multiplicity 1)
Ti (0.000, 0.500, 0.317) (multiplicity 4)
In (0.500, 0.500, 0.000) (multiplicity 1)
N (0.500, 0.500, 0.500) (multiplicity 1)

Values from the calculation:
Magnetization   0.000 μB per cell
Energy relative to the elements, uncorrected   -1.79 eV per formula unit